Entry from Alexandria: a relaxed Ti2Mn5Be2Ga crystal (GGA-PBE).

a b c (Å): 8.7163 8.7163 3.2626
angles (deg): 90.00 90.00 90.00
Closest atoms and distances in Å follow each position.
Fractional coordinates of all 20 atoms:
1 Ti 0.1722 0.3278 0.0000  3 Be 2.55-2.59, 6 Mn 2.68-2.79
2 Ti 0.3278 0.8278 0.0000  3 Be 2.55-2.59, 6 Mn 2.68-2.79
3 Ti 0.6722 0.1722 0.0000  3 Be 2.55-2.59, 6 Mn 2.68-2.79
4 Ti 0.8278 0.6722 0.0000  3 Be 2.55-2.59, 6 Mn 2.68-2.79
5 Mn 0.0000 0.5000 0.5000  4 Be 2.21
6 Mn 0.0716 0.7888 0.5000  2 Be 2.23
7 Mn 0.2112 0.0716 0.5000  2 Be 2.23
8 Mn 0.2888 0.5716 0.5000  2 Be 2.23
9 Mn 0.4284 0.2888 0.5000  2 Be 2.23
10 Mn 0.5000 0.0000 0.5000  4 Be 2.21
11 Mn 0.5716 0.7112 0.5000  2 Be 2.23
12 Mn 0.7112 0.4284 0.5000  2 Be 2.23
13 Mn 0.7888 0.9284 0.5000  2 Be 2.23
14 Mn 0.9284 0.2112 0.5000  2 Be 2.23
15 Be 0.1209 0.6209 0.0000  6 Mn 2.21-2.23
16 Be 0.3791 0.1209 0.0000  6 Mn 2.21-2.23
17 Be 0.6209 0.8791 0.0000  6 Mn 2.21-2.23
18 Be 0.8791 0.3791 0.0000  6 Mn 2.21-2.23
19 Ga 0.0000 0.0000 0.0000  8 Mn 2.54
20 Ga 0.5000 0.5000 0.0000  8 Mn 2.54

The value obtained for the total moment is 19.16 Bohr magnetons per cell. Its space group is P4/mbm (127). Its energy of formation from the pure elements is -0.12 eV per atom. Its total energy is -0.26943 hartree per atom.